# 1
DFT (PBE) results for crystalline SiHg3Os at its relaxed geometry.

Cell lengths 5.014, 5.014, 5.014 Å; angles 90.00, 90.00, 90.00 degrees
Sites, in units of the cell vectors:
1 Si 0.000 0.000 0.000
2 Hg 0.000 0.000 0.500
3 Hg 0.000 0.500 0.000
4 Hg 0.500 0.000 0.000
5 Os 0.500 0.500 0.500

Values from the calculation:
final energy: -2.05 eV per atom
space group: No. 221
total magnetic moment: 0.614 μB per atom
Fermi-level density of states: 1.4704 states/eV per atom
excess energy over the best structure of this formula in the dataset: 221 meV per atom

# 2
DFT (PBE) results for crystalline BiPF2 at its relaxed geometry.

Cell lengths 4.446, 4.446, 4.446 Å; angles 60.00, 60.00, 60.00 degrees
Sites, in units of the cell vectors:
1 Bi 0.000 0.000 0.000
2 P 0.500 0.500 0.500
3 F 0.250 0.250 0.250
4 F 0.750 0.750 0.750

Values from the calculation:
final energy: -3.87 eV per atom
space group: No. 225
total magnetic moment: 0.000 μB per atom
Fermi-level density of states: 0.5469 states/eV per atom
excess energy over the best structure of this formula in the dataset: 362 meV per atom

# 3
DFT (PBE) results for crystalline AlGa2Pd2 at its relaxed geometry.

Cell lengths 6.978, 6.978, 6.978 Å; angles 150.47, 150.47, 42.25 degrees
Sites, in units of the cell vectors:
1 Al 0.000 0.000 0.000
2 Ga 0.250 0.750 0.500
3 Ga 0.750 0.250 0.500
4 Pd 0.397 0.397 0.000
5 Pd 0.603 0.603 0.000

Values from the calculation:
final energy: -4.42 eV per atom
space group: No. 139
total magnetic moment: 0.000 μB per atom
Fermi-level density of states: 0.2714 states/eV per atom
formation enthalpy at 0 K: -0.39 eV per atom
excess energy over the best structure of this formula in the dataset: 230 meV per atom

# 4
DFT (PBE) results for crystalline CaEr2I8 at its relaxed geometry.

Cell lengths 9.421, 9.421, 7.667 Å; angles 95.98, 95.98, 71.70 degrees
Sites, in units of the cell vectors:
1 Ca 0.000 0.000 0.000
2 Er 0.186 0.186 0.646
3 Er 0.814 0.814 0.354
4 I 0.109 0.713 0.221
5 I 0.179 0.179 0.267
6 I 0.287 0.891 0.779
7 I 0.363 0.363 0.786
8 I 0.637 0.637 0.214
9 I 0.713 0.109 0.221
10 I 0.821 0.821 0.733
11 I 0.891 0.287 0.779

Values from the calculation:
final energy: -3.45 eV per atom
space group: No. 12
total magnetic moment: 0.000 μB per atom
Fermi-level density of states: 0.0000 states/eV per atom

# 5
DFT (PBE) results for crystalline Dy3GaAg3S8 at its relaxed geometry.

Cell lengths 7.635, 7.635, 7.686 Å; angles 118.10, 118.10, 62.22 degrees
Sites, in units of the cell vectors:
1 Dy 0.000 0.000 0.000
2 Dy 0.000 0.500 0.500
3 Dy 0.500 0.000 0.500
4 Ga 0.500 0.500 0.000
5 Ag 0.000 0.500 0.000
6 Ag 0.500 0.000 0.000
7 Ag 0.500 0.500 0.500
8 S 0.246 0.246 0.257
9 S 0.269 0.727 0.228
10 S 0.270 0.270 0.772
11 S 0.273 0.731 0.772
12 S 0.727 0.269 0.228
13 S 0.730 0.730 0.228
14 S 0.731 0.273 0.772
15 S 0.754 0.754 0.743

Values from the calculation:
final energy: -4.95 eV per atom
space group: No. 12
total magnetic moment: 0.000 μB per atom
Fermi-level density of states: 0.5492 states/eV per atom

# 6
DFT (PBE) results for crystalline PmEuZnAg at its relaxed geometry.

Cell lengths 5.283, 5.283, 5.283 Å; angles 60.00, 60.00, 60.00 degrees
Sites, in units of the cell vectors:
1 Pm 0.000 0.000 0.000
2 Eu 0.500 0.500 0.500
3 Zn 0.250 0.250 0.250
4 Ag 0.750 0.750 0.750

Values from the calculation:
final energy: -5.05 eV per atom
space group: No. 216
total magnetic moment: 1.799 μB per atom
Fermi-level density of states: 1.7096 states/eV per atom
formation enthalpy at 0 K: -0.26 eV per atom

# 7
DFT (PBE) results for crystalline CrBr at its relaxed geometry.

Cell lengths 5.117, 5.117, 5.117 Å; angles 60.00, 60.00, 60.00 degrees
Sites, in units of the cell vectors:
1 Cr 0.125 0.125 0.125
2 Cr 0.875 0.875 0.875
3 Br 0.375 0.375 0.375
4 Br 0.625 0.625 0.625

Values from the calculation:
final energy: -4.97 eV per atom
space group: No. 227
total magnetic moment: 2.497 μB per atom
Fermi-level density of states: 0.8681 states/eV per atom

# 8
DFT (PBE) results for crystalline Y7Ho12Sc at its relaxed geometry.

Cell lengths 8.660, 8.660, 8.660 Å; angles 86.72, 86.72, 86.72 degrees
Sites, in units of the cell vectors:
1 Y 0.000 0.000 0.000
2 Y 0.148 0.603 0.496
3 Y 0.397 0.504 0.852
4 Y 0.496 0.148 0.603
5 Y 0.504 0.852 0.397
6 Y 0.603 0.496 0.148
7 Y 0.852 0.397 0.504
8 Ho 0.077 0.398 0.149
9 Ho 0.147 0.269 0.748
10 Ho 0.149 0.077 0.398
11 Ho 0.252 0.853 0.731
12 Ho 0.269 0.748 0.147
13 Ho 0.398 0.149 0.077
14 Ho 0.602 0.851 0.923
15 Ho 0.731 0.252 0.853
16 Ho 0.748 0.147 0.269
17 Ho 0.851 0.923 0.602
18 Ho 0.853 0.731 0.252
19 Ho 0.923 0.602 0.851
20 Sc 0.500 0.500 0.500

Values from the calculation:
final energy: -5.08 eV per atom
space group: No. 148
total magnetic moment: 0.000 μB per atom
Fermi-level density of states: 1.8715 states/eV per atom
formation enthalpy at 0 K: 0.24 eV per atom
excess energy over the best structure of this formula in the dataset: 0 meV per atom

# 9
DFT (PBE) results for crystalline Zr6Ga3Ge at its relaxed geometry.

Cell lengths 5.468, 7.708, 11.401 Å; angles 90.00, 118.64, 90.00 degrees
Sites, in units of the cell vectors:
1 Zr 0.014 0.170 0.424
2 Zr 0.014 0.330 0.924
3 Zr 0.332 0.669 0.423
4 Zr 0.332 0.831 0.923
5 Zr 0.394 0.026 0.249
6 Zr 0.394 0.474 0.749
7 Zr 0.606 0.526 0.251
8 Zr 0.606 0.974 0.751
9 Zr 0.668 0.169 0.077
10 Zr 0.668 0.331 0.577
11 Zr 0.986 0.670 0.076
12 Zr 0.986 0.830 0.576
13 Ga 0.139 0.132 0.748
14 Ga 0.139 0.368 0.248
15 Ga 0.500 0.000 0.500
16 Ga 0.500 0.500 0.000
17 Ga 0.861 0.632 0.752
18 Ga 0.861 0.868 0.252
19 Ge 0.000 0.000 0.000
20 Ge 0.000 0.500 0.500

Values from the calculation:
final energy: -6.89 eV per atom
space group: No. 14
total magnetic moment: 0.000 μB per atom
Fermi-level density of states: 0.6006 states/eV per atom
formation enthalpy at 0 K: -0.39 eV per atom

# 10
DFT (PBE) results for crystalline NaScC at its relaxed geometry.

Cell lengths 3.747, 3.747, 5.029 Å; angles 90.00, 90.00, 120.00 degrees
Sites, in units of the cell vectors:
1 Na 0.000 0.000 0.000
2 Sc 0.333 0.667 0.500
3 C 0.667 0.333 0.500

Values from the calculation:
final energy: -5.22 eV per atom
space group: No. 187
total magnetic moment: 0.000 μB per atom
Fermi-level density of states: 0.7119 states/eV per atom
formation enthalpy at 0 K: 0.40 eV per atom
excess energy over the best structure of this formula in the dataset: 546 meV per atom

# 11
DFT (PBE) results for crystalline Sr4Bi8Pd at its relaxed geometry.

Cell lengths 4.759, 4.966, 18.169 Å; angles 90.00, 90.00, 90.00 degrees
Sites, in units of the cell vectors:
1 Sr 0.000 0.000 0.000
2 Sr 0.000 0.500 0.482
3 Sr 0.500 0.000 0.788
4 Sr 0.500 0.500 0.289
5 Bi 0.000 0.000 0.325
6 Bi 0.000 0.000 0.628
7 Bi 0.000 0.500 0.139
8 Bi 0.000 0.500 0.858
9 Bi 0.500 0.000 0.151
10 Bi 0.500 0.000 0.448
11 Bi 0.500 0.500 0.629
12 Bi 0.500 0.500 0.978
13 Pd 0.000 0.500 0.706

Values from the calculation:
final energy: -3.88 eV per atom
space group: No. 25
total magnetic moment: 0.000 μB per atom
Fermi-level density of states: 0.3898 states/eV per atom
formation enthalpy at 0 K: -0.58 eV per atom

# 12
DFT (PBE) results for crystalline Rb2TiTeI6 at its relaxed geometry.

Cell lengths 8.655, 8.655, 8.655 Å; angles 116.35, 116.35, 96.44 degrees
Sites, in units of the cell vectors:
1 Rb 0.250 0.750 0.500
2 Rb 0.750 0.250 0.500
3 Ti 0.000 0.000 0.000
4 Te 0.500 0.500 0.000
5 I 0.216 0.216 0.433
6 I 0.216 0.784 0.000
7 I 0.243 0.243 0.000
8 I 0.757 0.757 0.000
9 I 0.784 0.216 0.000
10 I 0.784 0.784 0.567

Values from the calculation:
final energy: -2.96 eV per atom
space group: No. 139
total magnetic moment: 0.002 μB per atom
Fermi-level density of states: 0.6163 states/eV per atom

# 13
DFT (PBE) results for crystalline Cs2BaCl6O at its relaxed geometry.

Cell lengths 8.588, 8.588, 8.588 Å; angles 129.99, 129.99, 73.42 degrees
Sites, in units of the cell vectors:
1 Cs 0.250 0.750 0.500
2 Cs 0.750 0.250 0.500
3 Ba 0.000 0.000 0.000
4 Cl 0.217 0.217 0.000
5 Cl 0.293 0.293 0.587
6 Cl 0.293 0.707 0.000
7 Cl 0.707 0.293 0.000
8 Cl 0.707 0.707 0.413
9 Cl 0.783 0.783 0.000
10 O 0.500 0.500 0.000

Values from the calculation:
final energy: -3.20 eV per atom
space group: No. 139
total magnetic moment: 0.000 μB per atom

# 14
DFT (PBE) results for crystalline HgPt2Au2 at its relaxed geometry.

Cell lengths 7.168, 7.168, 7.168 Å; angles 148.79, 148.79, 44.73 degrees
Sites, in units of the cell vectors:
1 Hg 0.000 0.000 0.000
2 Pt 0.402 0.402 0.000
3 Pt 0.598 0.598 0.000
4 Au 0.250 0.750 0.500
5 Au 0.750 0.250 0.500

Values from the calculation:
final energy: -3.54 eV per atom
space group: No. 139
total magnetic moment: 0.000 μB per atom
Fermi-level density of states: 0.5470 states/eV per atom
formation enthalpy at 0 K: 0.25 eV per atom
excess energy over the best structure of this formula in the dataset: 147 meV per atom

# 15
DFT (PBE) results for crystalline NbPt2CS at its relaxed geometry.

Cell lengths 4.681, 4.681, 3.550 Å; angles 90.00, 90.00, 90.00 degrees
Sites, in units of the cell vectors:
1 Nb 0.000 0.000 0.000
2 Pt 0.000 0.500 0.500
3 Pt 0.500 0.000 0.500
4 C 0.500 0.500 0.000
5 S 0.500 0.500 0.500

Values from the calculation:
final energy: -5.92 eV per atom
space group: No. 123
total magnetic moment: 0.000 μB per atom
Fermi-level density of states: 0.9514 states/eV per atom

# 16
DFT (PBE) results for crystalline Ac3LaRh8 at its relaxed geometry.

Cell lengths 9.587, 9.587, 9.587 Å; angles 33.47, 33.47, 33.47 degrees
Sites, in units of the cell vectors:
1 Ac 0.000 0.000 0.000
2 Ac 0.126 0.126 0.126
3 Ac 0.623 0.623 0.623
4 La 0.499 0.499 0.499
5 Rh 0.061 0.061 0.562
6 Rh 0.061 0.562 0.061
7 Rh 0.063 0.562 0.562
8 Rh 0.312 0.312 0.312
9 Rh 0.562 0.061 0.061
10 Rh 0.562 0.063 0.562
11 Rh 0.562 0.562 0.063
12 Rh 0.812 0.812 0.812

Values from the calculation:
final energy: -6.94 eV per atom
space group: No. 160
total magnetic moment: 0.000 μB per atom
Fermi-level density of states: 0.5064 states/eV per atom
formation enthalpy at 0 K: -0.61 eV per atom

# 17
DFT (PBE) results for crystalline Li3Zn3Ga at its relaxed geometry.

Cell lengths 9.852, 4.391, 10.193 Å; angles 90.00, 90.00, 90.00 degrees
Sites, in units of the cell vectors:
1 Li 0.020 0.250 0.184
2 Li 0.186 0.250 0.658
3 Li 0.245 0.250 0.343
4 Li 0.255 0.750 0.843
5 Li 0.314 0.750 0.158
6 Li 0.480 0.750 0.684
7 Li 0.520 0.250 0.316
8 Li 0.686 0.250 0.842
9 Li 0.745 0.250 0.157
10 Li 0.755 0.750 0.657
11 Li 0.814 0.750 0.342
12 Li 0.980 0.750 0.816
13 Zn 0.031 0.750 0.570
14 Zn 0.066 0.750 0.056
15 Zn 0.202 0.250 0.983
16 Zn 0.298 0.750 0.483
17 Zn 0.434 0.250 0.556
18 Zn 0.469 0.250 0.070
19 Zn 0.531 0.750 0.930
20 Zn 0.566 0.750 0.444
21 Zn 0.702 0.250 0.517
22 Zn 0.798 0.750 0.017
23 Zn 0.934 0.250 0.944
24 Zn 0.969 0.250 0.430
25 Ga 0.089 0.750 0.318
26 Ga 0.411 0.250 0.818
27 Ga 0.589 0.750 0.182
28 Ga 0.911 0.250 0.682

Values from the calculation:
final energy: -1.98 eV per atom
space group: No. 62
total magnetic moment: 0.000 μB per atom
Fermi-level density of states: 0.2498 states/eV per atom
formation enthalpy at 0 K: -0.18 eV per atom
excess energy over the best structure of this formula in the dataset: 21 meV per atom

# 18
DFT (PBE) results for crystalline ScNF3 at its relaxed geometry.

Cell lengths 4.065, 6.450, 7.698 Å; angles 89.74, 78.10, 90.00 degrees
Sites, in units of the cell vectors:
1 Sc 0.000 0.250 0.001
2 Sc 0.000 0.750 0.999
3 N 0.305 0.250 0.463
4 N 0.695 0.750 0.537
5 F 0.066 0.002 0.831
6 F 0.066 0.500 0.831
7 F 0.500 0.250 0.000
8 F 0.500 0.750 0.000
9 F 0.934 0.500 0.169
10 F 0.934 0.998 0.169

Values from the calculation:
final energy: -6.12 eV per atom
space group: No. 2
total magnetic moment: 0.600 μB per atom
Fermi-level density of states: 0.0000 states/eV per atom
excess energy over the best structure of this formula in the dataset: 29 meV per atom

# 19
DFT (PBE) results for crystalline Tm6NiRu5 at its relaxed geometry.

Cell lengths 7.486, 7.486, 6.714 Å; angles 90.00, 90.00, 143.05 degrees
Sites, in units of the cell vectors:
1 Tm 0.000 0.000 0.248
2 Tm 0.000 0.000 0.752
3 Tm 0.332 0.668 0.249
4 Tm 0.332 0.668 0.751
5 Tm 0.668 0.332 0.249
6 Tm 0.668 0.332 0.751
7 Ni 0.500 0.500 0.500
8 Ru 0.165 0.835 0.500
9 Ru 0.166 0.834 0.000
10 Ru 0.500 0.500 0.000
11 Ru 0.834 0.166 0.000
12 Ru 0.835 0.165 0.500

Values from the calculation:
final energy: -7.03 eV per atom
space group: No. 65
total magnetic moment: 0.000 μB per atom
Fermi-level density of states: 0.8551 states/eV per atom
formation enthalpy at 0 K: -0.45 eV per atom

# 20
DFT (PBE) results for crystalline SrAlCd at its relaxed geometry.

Cell lengths 6.614, 6.614, 6.614 Å; angles 147.81, 147.81, 46.16 degrees
Sites, in units of the cell vectors:
1 Sr 0.000 0.000 0.000
2 Al 0.688 0.688 0.000
3 Cd 0.307 0.307 0.000

Values from the calculation:
final energy: -2.22 eV per atom
space group: No. 107
total magnetic moment: 0.000 μB per atom
Fermi-level density of states: 0.3773 states/eV per atom
formation enthalpy at 0 K: -0.11 eV per atom

# 21
DFT (PBE) results for crystalline HfThSn at its relaxed geometry.

Cell lengths 9.020, 9.020, 9.020 Å; angles 151.82, 151.82, 40.27 degrees
Sites, in units of the cell vectors:
1 Hf 0.000 0.500 0.500
2 Hf 0.500 0.000 0.500
3 Th 0.177 0.177 0.000
4 Th 0.823 0.823 0.000
5 Sn 0.375 0.375 0.000
6 Sn 0.625 0.625 0.000

Values from the calculation:
final energy: -7.51 eV per atom
space group: No. 139
total magnetic moment: 0.000 μB per atom
Fermi-level density of states: 1.5070 states/eV per atom
formation enthalpy at 0 K: -0.38 eV per atom

# 22
DFT (PBE) results for crystalline Ac7TlGa5 at its relaxed geometry.

Cell lengths 8.715, 8.715, 8.715 Å; angles 134.08, 97.57, 99.94 degrees
Sites, in units of the cell vectors:
1 Ac 0.000 0.000 0.000
2 Ac 0.005 0.695 0.309
3 Ac 0.382 0.382 0.000
4 Ac 0.386 0.695 0.691
5 Ac 0.453 0.131 0.322
6 Ac 0.810 0.131 0.678
7 Ac 0.887 0.387 0.500
8 Tl 0.692 0.692 0.000
9 Ga 0.165 0.210 0.536
10 Ga 0.165 0.629 0.955
11 Ga 0.406 0.906 0.500
12 Ga 0.675 0.210 0.045
13 Ga 0.675 0.629 0.464

Values from the calculation:
final energy: -3.84 eV per atom
space group: No. 44
total magnetic moment: 0.000 μB per atom
Fermi-level density of states: 0.9632 states/eV per atom
formation enthalpy at 0 K: -0.28 eV per atom

# 23
DFT (PBE) results for crystalline FePt2Se at its relaxed geometry.

Cell lengths 2.924, 2.924, 7.133 Å; angles 90.00, 90.00, 90.00 degrees
Sites, in units of the cell vectors:
1 Fe 0.000 0.000 0.000
2 Pt 0.000 0.000 0.511
3 Pt 0.500 0.500 0.236
4 Se 0.500 0.500 0.790

Values from the calculation:
final energy: -5.90 eV per atom
space group: No. 99
total magnetic moment: 0.634 μB per atom
Fermi-level density of states: 1.0709 states/eV per atom